SrPbW2O8 after structural relaxation. Source: Alexandria via LeMat-Bulk, functional GGA+U.

Summary:
Raw total energy: -7.06 eV per atom
Total magnetic moment: 0.00 μB per formula unit

Unit cell a=6.554 b=6.554 c=6.554 alpha=106.65 beta=106.65 gamma=115.26
Positions (direct):
Sr 0.250 0.750 0.500
Pb 0.000 0.000 0.000
W 0.750 0.250 0.500
W 0.500 0.500 0.000
O 0.407 0.089 0.318
O 0.342 0.526 0.184
O 0.342 0.158 0.816
O 0.771 0.089 0.682
O 0.842 0.658 0.184
O 0.911 0.229 0.318
O 0.911 0.593 0.682
O 0.474 0.658 0.816